(1)
VASP calculation (GGA-PBE) on MgGaSnIr after structural relaxation.

Geometry as POSCAR:
```
MgGaSnIr
1.0
0.000 3.272 3.272
3.272 0.000 3.272
3.272 3.272 0.000
Mg Ga Sn Ir
1 1 1 1
direct
0.000 0.000 0.000
0.750 0.750 0.750
0.250 0.250 0.250
0.500 0.500 0.500
```

Results
total moment = 0.004 Bohr magnetons per cell
energy relative to the lowest polymorph listed for this composition = 0.0000 eV per atom
crystal system = cubic

---

(2)
VASP calculation (GGA-PBE) on TbMgGa2Ir4 after structural relaxation.

Geometry as POSCAR:
```
TbMgGa2Ir4
1.0
4.447 0.000 0.000
0.000 4.447 0.000
0.000 0.000 6.397
Tb Mg Ga Ir
1 1 2 4
direct
0.000 0.000 0.000
0.500 0.500 0.500
0.000 0.000 0.500
0.500 0.500 0.000
0.000 0.500 0.268
0.000 0.500 0.732
0.500 0.000 0.268
0.500 0.000 0.732
```

Results
raw total energy = -6.449 eV per atom
total moment = 0.005 Bohr magnetons per cell
crystal system = tetragonal

---

(3)
VASP calculation (GGA-PBE) on Tm3Mg3Ga2Ir after structural relaxation.

Geometry as POSCAR:
```
Tm3Mg3Ga2Ir
1.0
7.179 0.000 0.000
-3.589 6.217 0.000
0.000 0.000 4.328
Tm Mg Ga Ir
3 3 2 1
direct
0.000 0.404 0.000
0.404 0.000 0.000
0.596 0.596 0.000
0.000 0.762 0.500
0.238 0.238 0.500
0.762 0.000 0.500
0.333 0.667 0.500
0.667 0.333 0.500
0.000 0.000 0.000
```

Results
raw total energy = -4.191 eV per atom
total moment = 0.019 Bohr magnetons per cell
crystal system = hexagonal

---

(4)
VASP calculation (GGA-PBE) on MgZn2GaIr4 after structural relaxation.

Geometry as POSCAR:
```
MgZn2GaIr4
1.0
4.315 0.000 0.000
0.000 4.315 0.000
0.000 0.000 6.117
Mg Zn Ga Ir
1 2 1 4
direct
0.000 0.000 0.000
0.000 0.000 0.500
0.500 0.500 0.000
0.500 0.500 0.500
0.000 0.500 0.258
0.000 0.500 0.742
0.500 0.000 0.258
0.500 0.000 0.742
```

Results
raw total energy = -5.606 eV per atom
total moment = 0.000 Bohr magnetons per cell
crystal system = tetragonal

---

(5)
VASP calculation (GGA-PBE) on Ga2MoIr after structural relaxation.

Geometry as POSCAR:
```
Ga2MoIr
1.0
0.000 3.129 3.129
3.129 0.000 3.129
3.129 3.129 0.000
Ga Mo Ir
2 1 1
direct
0.000 0.000 0.000
0.250 0.250 0.250
0.500 0.500 0.500
0.750 0.750 0.750
```

Results
raw total energy = -6.351 eV per atom
total moment = 0.010 Bohr magnetons per cell
crystal system = cubic

---

(6)
VASP calculation (GGA-PBE) on GaMoIr2 after structural relaxation.

Geometry as POSCAR:
```
GaMoIr2
1.0
0.000 3.105 3.105
3.105 0.000 3.105
3.105 3.105 0.000
Ga Mo Ir
1 1 2
direct
0.000 0.000 0.000
0.250 0.250 0.250
0.500 0.500 0.500
0.750 0.750 0.750
```

Results
raw total energy = -7.881 eV per atom
total moment = 0.030 Bohr magnetons per cell
crystal system = cubic

---

(7)
VASP calculation (GGA-PBE) on GaNiMoIr after structural relaxation.

Geometry as POSCAR:
```
GaNiMoIr
1.0
0.000 3.037 3.037
3.037 0.000 3.037
3.037 3.037 0.000
Ga Ni Mo Ir
1 1 1 1
direct
0.000 0.000 0.000
0.250 0.250 0.250
0.750 0.750 0.750
0.500 0.500 0.500
```

Results
raw total energy = -7.183 eV per atom
total moment = 0.002 Bohr magnetons per cell
crystal system = cubic

---

(8)
VASP calculation (GGA-PBE) on GaIrNO after structural relaxation.

Geometry as POSCAR:
```
GaIrNO
1.0
2.805 0.000 0.000
0.000 5.807 0.000
0.000 0.000 5.428
Ga Ir N O
2 2 2 2
direct
0.000 0.018 0.000
0.000 0.982 0.500
0.500 0.485 0.269
0.500 0.515 0.769
0.000 0.239 0.269
0.000 0.761 0.769
0.500 0.155 0.768
0.500 0.845 0.268
```

Results
total moment = 0.001 Bohr magnetons per cell
energy relative to the lowest polymorph listed for this composition = 0.0000 eV per atom
crystal system = orthorhombic

---

(9)
VASP calculation (GGA-PBE) on GaIrNO after structural relaxation.

Geometry as POSCAR:
```
GaIrNO
1.0
3.053 0.000 0.000
0.000 6.344 0.000
0.000 0.000 4.982
Ga Ir N O
2 2 2 2
direct
0.000 0.144 0.000
0.000 0.856 0.500
0.500 0.421 0.509
0.500 0.579 0.009
0.500 0.288 0.872
0.500 0.712 0.372
0.000 0.133 0.373
0.000 0.867 0.873
```

Results
total moment = 0.019 Bohr magnetons per cell
energy relative to the lowest polymorph listed for this composition = 0.0596 eV per atom
crystal system = orthorhombic

---

(10)
VASP calculation (GGA-PBE) on GaIrNO after structural relaxation.

Geometry as POSCAR:
```
GaIrNO
1.0
3.741 0.000 0.000
0.000 3.741 0.000
0.000 0.000 6.703
Ga Ir N O
2 2 2 2
direct
0.250 0.250 0.122
0.750 0.750 0.878
0.250 0.750 0.500
0.750 0.250 0.500
0.250 0.250 0.649
0.750 0.750 0.351
0.250 0.750 0.000
0.750 0.250 0.000
```

Results
total moment = 0.002 Bohr magnetons per cell
energy relative to the lowest polymorph listed for this composition = 0.2915 eV per atom
crystal system = tetragonal

---

(11)
VASP calculation (GGA-PBE) on GaIrNO after structural relaxation.

Geometry as POSCAR:
```
GaIrNO
1.0
3.850 0.000 0.000
0.000 3.850 0.000
0.000 0.000 7.059
Ga Ir N O
2 2 2 2
direct
0.250 0.750 0.000
0.750 0.250 0.000
0.250 0.250 0.398
0.750 0.750 0.602
0.250 0.250 0.914
0.750 0.750 0.086
0.250 0.750 0.500
0.750 0.250 0.500
```

Results
total moment = 0.152 Bohr magnetons per cell
energy relative to the lowest polymorph listed for this composition = 0.8701 eV per atom
crystal system = tetragonal

---

(12)
VASP calculation (GGA-PBE) on GaIrNO after structural relaxation.

Geometry as POSCAR:
```
GaIrNO
1.0
5.537 0.000 0.000
0.000 6.646 0.000
0.000 0.000 5.113
Ga Ir N O
4 4 4 4
direct
0.108 0.093 0.000
0.392 0.093 0.500
0.608 0.907 0.000
0.892 0.907 0.500
0.010 0.438 0.520
0.490 0.438 0.020
0.510 0.562 0.520
0.990 0.562 0.020
0.072 0.135 0.632
0.428 0.135 0.132
0.572 0.865 0.632
0.928 0.865 0.132
0.069 0.705 0.683
0.431 0.705 0.183
0.569 0.295 0.683
0.931 0.295 0.183
```

Results
total moment = 0.012 Bohr magnetons per cell
energy relative to the lowest polymorph listed for this composition = 0.1232 eV per atom
crystal system = orthorhombic